Record 1
{"formula": "Li2LaAs", "functional": "meta-GGA SCAN", "state": "single point on PBEsol structure", "lattice_angstrom": [[4.214, -0.007, 0.002], [-0.039, 4.214, 0.002], [-2.085, -2.102, 5.640]], "species": ["As", "La", "Li", "Li"], "fractional_positions": [[0.500, 0.500, 0.000], [0.000, 0.000, 0.000], [0.500, 0.000, 0.500], [0.000, 0.500, 0.500]], "formation_enthalpy_0k_ev_per_atom": -0.497, "volume_a3_per_cell": 100}

***

Record 2
{"formula": "Li2LaAs", "functional": "meta-GGA SCAN", "state": "single point on PBEsol structure", "lattice_angstrom": [[-1.756, -3.918, 0.313], [3.947, -1.570, -0.700], [0.860, 0.002, 4.844]], "species": ["As", "La", "Li", "Li"], "fractional_positions": [[0.500, 0.500, 0.500], [0.000, 0.000, 0.500], [0.688, 0.312, 0.000], [0.312, 0.688, 0.000]], "formation_enthalpy_0k_ev_per_atom": -0.694, "volume_a3_per_cell": 91}